# 1
A relaxed ZnAgI2 crystal, computed with GGA-PBE.

CIF file:
```
data_ZnAgI2
_cell_length_a 8.4667
_cell_length_b 8.4667
_cell_length_c 8.4667
_cell_angle_alpha 134.47
_cell_angle_beta 134.47
_cell_angle_gamma 66.35
_symmetry_space_group_name_H-M 'P 1'
_symmetry_Int_Tables_number 1
loop_
_symmetry_equiv_pos_as_xyz
'x,y,z'
loop_
_atom_site_label
_atom_site_type_symbol
_atom_site_fract_x
_atom_site_fract_y
_atom_site_fract_z
_atom_site_occupancy
Zn1 Zn 0.0000 0.0000 0.0000 1
Zn2 Zn 0.7500 0.2500 0.5000 1
Ag1 Ag 0.2500 0.7500 0.5000 1
Ag2 Ag 0.5000 0.5000 0.0000 1
I1 I 0.1281 0.6250 0.0031 1
I2 I 0.3750 0.3781 0.5031 1
I3 I 0.6219 0.1250 0.9969 1
I4 I 0.8750 0.8719 0.4969 1
```

Calculated values
V: 38.03 Å³ per atom
Calculated total energy: -1.875 eV/atom
Energy relative to the elements, uncorrected: -1.583 kcal/mol of atoms

# 2
A relaxed Pm4Sm3Ag4 crystal, computed with GGA-PBE.

CIF file:
```
data_Pm4Sm3Ag4
_cell_length_a 9.3679
_cell_length_b 9.3679
_cell_length_c 9.3679
_cell_angle_alpha 147.94
_cell_angle_beta 132.72
_cell_angle_gamma 58.27
_symmetry_space_group_name_H-M 'P 1'
_symmetry_Int_Tables_number 1
loop_
_symmetry_equiv_pos_as_xyz
'x,y,z'
loop_
_atom_site_label
_atom_site_type_symbol
_atom_site_fract_x
_atom_site_fract_y
_atom_site_fract_z
_atom_site_occupancy
Pm1 Pm 0.0506 0.8246 0.2261 1
Pm2 Pm 0.4015 0.1754 0.2261 1
Pm3 Pm 0.5985 0.8246 0.7739 1
Pm4 Pm 0.9494 0.1754 0.7739 1
Sm1 Sm 0.0000 0.5000 0.5000 1
Sm2 Sm 0.3986 0.3986 0.0000 1
Sm3 Sm 0.6014 0.6014 0.0000 1
Ag1 Ag 0.1897 0.6896 0.5000 1
Ag2 Ag 0.3126 0.0000 0.3126 1
Ag3 Ag 0.6874 0.0000 0.6874 1
Ag4 Ag 0.8104 0.3104 0.5000 1
```

Calculated values
V: 28.91 Å³ per atom
Calculated total energy: -4.132 eV/atom
ΔH_f (0 K): -0.0810 eV per atom

# 3
A relaxed Sm4NO5 crystal, computed with GGA-PBE.

CIF file:
```
data_Sm4NO5
_cell_length_a 7.8662
_cell_length_b 7.8662
_cell_length_c 5.8372
_cell_angle_alpha 90.73
_cell_angle_beta 90.73
_cell_angle_gamma 26.34
_symmetry_space_group_name_H-M 'P 1'
_symmetry_Int_Tables_number 1
loop_
_symmetry_equiv_pos_as_xyz
'x,y,z'
loop_
_atom_site_label
_atom_site_type_symbol
_atom_site_fract_x
_atom_site_fract_y
_atom_site_fract_z
_atom_site_occupancy
Sm1 Sm 0.0593 0.0593 0.2470 1
Sm2 Sm 0.2977 0.2977 0.2504 1
Sm3 Sm 0.7023 0.7023 0.7496 1
Sm4 Sm 0.9407 0.9407 0.7530 1
N1 N 0.5000 0.5000 0.5000 1
O1 O 0.1753 0.1753 0.0020 1
O2 O 0.1752 0.1752 0.4923 1
O3 O 0.5000 0.5000 0.0000 1
O4 O 0.8248 0.8248 0.5077 1
O5 O 0.8247 0.8247 0.9980 1
```

Calculated values
V: 16.02 Å³ per atom
Calculated total energy: -8.044 eV/atom
Energy relative to the elements, uncorrected: -65.599 kcal/mol of atoms

# 4
A relaxed Tb2PtPbO5 crystal, computed with GGA-PBE.

CIF file:
```
data_Tb2PtPbO5
_cell_length_a 6.5758
_cell_length_b 6.5758
_cell_length_c 5.9037
_cell_angle_alpha 90.00
_cell_angle_beta 90.00
_cell_angle_gamma 90.00
_symmetry_space_group_name_H-M 'P 1'
_symmetry_Int_Tables_number 1
loop_
_symmetry_equiv_pos_as_xyz
'x,y,z'
loop_
_atom_site_label
_atom_site_type_symbol
_atom_site_fract_x
_atom_site_fract_y
_atom_site_fract_z
_atom_site_occupancy
Tb1 Tb 0.1742 0.3258 0.0000 1
Tb2 Tb 0.3258 0.8258 0.0000 1
Tb3 Tb 0.6742 0.1742 0.0000 1
Tb4 Tb 0.8258 0.6742 0.0000 1
Pt1 Pt 0.0000 0.5000 0.5000 1
Pt2 Pt 0.5000 0.0000 0.5000 1
Pb1 Pb 0.0000 0.0000 0.5000 1
Pb2 Pb 0.5000 0.5000 0.5000 1
O1 O 0.0000 0.0000 0.0000 1
O2 O 0.1397 0.6397 0.2379 1
O3 O 0.1397 0.6397 0.7621 1
O4 O 0.3603 0.1397 0.2379 1
O5 O 0.3603 0.1397 0.7621 1
O6 O 0.5000 0.5000 0.0000 1
O7 O 0.6397 0.8603 0.2379 1
O8 O 0.6397 0.8603 0.7621 1
O9 O 0.8603 0.3603 0.2379 1
O10 O 0.8603 0.3603 0.7621 1
```

Calculated values
V: 14.18 Å³ per atom
Calculated total energy: -7.094 eV/atom
Energy relative to the elements, uncorrected: -51.353 kcal/mol of atoms

# 5
A relaxed LiZnAg3 crystal, computed with GGA-PBE.

CIF file:
```
data_LiZnAg3
_cell_length_a 4.5099
_cell_length_b 4.5099
_cell_length_c 4.5099
_cell_angle_alpha 90.00
_cell_angle_beta 90.00
_cell_angle_gamma 90.00
_symmetry_space_group_name_H-M 'P 1'
_symmetry_Int_Tables_number 1
loop_
_symmetry_equiv_pos_as_xyz
'x,y,z'
loop_
_atom_site_label
_atom_site_type_symbol
_atom_site_fract_x
_atom_site_fract_y
_atom_site_fract_z
_atom_site_occupancy
Li1 Li 0.0000 0.0000 0.0000 1
Zn1 Zn 0.5000 0.5000 0.5000 1
Ag1 Ag 0.0000 0.0000 0.5000 1
Ag2 Ag 0.0000 0.5000 0.0000 1
Ag3 Ag 0.5000 0.0000 0.0000 1
```

Calculated values
V: 18.35 Å³ per atom
Calculated total energy: -1.920 eV/atom
ΔH_f (0 K): 0.4287 eV per atom

# 6
A relaxed Ni7Pt4 crystal, computed with GGA-PBE.

CIF file:
```
data_Ni7Pt4
_cell_length_a 4.4978
_cell_length_b 4.5957
_cell_length_c 6.9728
_cell_angle_alpha 96.27
_cell_angle_beta 90.18
_cell_angle_gamma 99.25
_symmetry_space_group_name_H-M 'P 1'
_symmetry_Int_Tables_number 1
loop_
_symmetry_equiv_pos_as_xyz
'x,y,z'
loop_
_atom_site_label
_atom_site_type_symbol
_atom_site_fract_x
_atom_site_fract_y
_atom_site_fract_z
_atom_site_occupancy
Ni1 Ni 0.0000 0.0000 0.0000 1
Ni2 Ni 0.2723 0.6318 0.5469 1
Ni3 Ni 0.3593 0.1822 0.7334 1
Ni4 Ni 0.4531 0.7358 0.9127 1
Ni5 Ni 0.5469 0.2642 0.0873 1
Ni6 Ni 0.6407 0.8178 0.2666 1
Ni7 Ni 0.7277 0.3682 0.4531 1
Pt1 Pt 0.0948 0.5454 0.1818 1
Pt2 Pt 0.1982 0.0947 0.3663 1
Pt3 Pt 0.8018 0.9053 0.6337 1
Pt4 Pt 0.9052 0.4546 0.8182 1
```

Calculated values
V: 12.85 Å³ per atom
Calculated total energy: -5.935 eV/atom
ΔH_f (0 K): -0.0596 eV per atom

# 7
A relaxed AcAl8Cu2 crystal, computed with GGA-PBE.

CIF file:
```
data_AcAl8Cu2
_cell_length_a 5.6368
_cell_length_b 5.6368
_cell_length_c 8.4690
_cell_angle_alpha 90.00
_cell_angle_beta 90.00
_cell_angle_gamma 90.00
_symmetry_space_group_name_H-M 'P 1'
_symmetry_Int_Tables_number 1
loop_
_symmetry_equiv_pos_as_xyz
'x,y,z'
loop_
_atom_site_label
_atom_site_type_symbol
_atom_site_fract_x
_atom_site_fract_y
_atom_site_fract_z
_atom_site_occupancy
Ac1 Ac 0.0000 0.0000 0.0000 1
Al1 Al 0.2494 0.2494 0.3255 1
Al2 Al 0.2494 0.2494 0.6745 1
Al3 Al 0.2494 0.7506 0.3255 1
Al4 Al 0.2494 0.7506 0.6745 1
Al5 Al 0.7506 0.2494 0.3255 1
Al6 Al 0.7506 0.2494 0.6745 1
Al7 Al 0.7506 0.7506 0.3255 1
Al8 Al 0.7506 0.7506 0.6745 1
Cu1 Cu 0.0000 0.5000 0.5000 1
Cu2 Cu 0.5000 0.0000 0.5000 1
```

Calculated values
V: 24.46 Å³ per atom
Calculated total energy: -3.677 eV/atom
ΔH_f (0 K): 0.1634 eV per atom

# 8
A relaxed ZrFeRe3 crystal, computed with GGA-PBE.

CIF file:
```
data_ZrFeRe3
_cell_length_a 4.4541
_cell_length_b 4.4541
_cell_length_c 4.4541
_cell_angle_alpha 90.00
_cell_angle_beta 90.00
_cell_angle_gamma 90.00
_symmetry_space_group_name_H-M 'P 1'
_symmetry_Int_Tables_number 1
loop_
_symmetry_equiv_pos_as_xyz
'x,y,z'
loop_
_atom_site_label
_atom_site_type_symbol
_atom_site_fract_x
_atom_site_fract_y
_atom_site_fract_z
_atom_site_occupancy
Zr1 Zr 0.0000 0.0000 0.0000 1
Fe1 Fe 0.5000 0.5000 0.5000 1
Re1 Re 0.0000 0.5000 0.5000 1
Re2 Re 0.5000 0.0000 0.5000 1
Re3 Re 0.5000 0.5000 0.0000 1
```

Calculated values
V: 17.67 Å³ per atom
Calculated total energy: -9.880 eV/atom
ΔH_f (0 K): 0.9915 eV per atom

# 9
A relaxed TaFeRe2 crystal, computed with GGA-PBE.

CIF file:
```
data_TaFeRe2
_cell_length_a 5.1827
_cell_length_b 5.1827
_cell_length_c 2.7047
_cell_angle_alpha 100.48
_cell_angle_beta 100.48
_cell_angle_gamma 117.59
_symmetry_space_group_name_H-M 'P 1'
_symmetry_Int_Tables_number 1
loop_
_symmetry_equiv_pos_as_xyz
'x,y,z'
loop_
_atom_site_label
_atom_site_type_symbol
_atom_site_fract_x
_atom_site_fract_y
_atom_site_fract_z
_atom_site_occupancy
Ta1 Ta 0.0000 0.0000 0.0000 1
Fe1 Fe 0.5000 0.5000 0.0000 1
Re1 Re 0.0000 0.5000 0.5000 1
Re2 Re 0.5000 0.0000 0.5000 1
```

Calculated values
V: 15.07 Å³ per atom
Calculated total energy: -11.301 eV/atom
ΔH_f (0 K): 0.0019 eV per atom

# 10
A relaxed Dy2MnTl crystal, computed with GGA-PBE.

CIF file:
```
data_Dy2MnTl
_cell_length_a 3.6332
_cell_length_b 3.6332
_cell_length_c 7.5636
_cell_angle_alpha 90.00
_cell_angle_beta 90.00
_cell_angle_gamma 90.00
_symmetry_space_group_name_H-M 'P 1'
_symmetry_Int_Tables_number 1
loop_
_symmetry_equiv_pos_as_xyz
'x,y,z'
loop_
_atom_site_label
_atom_site_type_symbol
_atom_site_fract_x
_atom_site_fract_y
_atom_site_fract_z
_atom_site_occupancy
Dy1 Dy 0.0000 0.0000 0.2280 1
Dy2 Dy 0.0000 0.0000 0.7720 1
Mn1 Mn 0.5000 0.5000 0.0000 1
Tl1 Tl 0.5000 0.5000 0.5000 1
```

Calculated values
V: 24.96 Å³ per atom
Calculated total energy: -5.268 eV/atom
ΔH_f (0 K): -0.0830 eV per atom

# 11
A relaxed NpAlNi11 crystal, computed with GGA-PBE.

CIF file:
```
data_NpAlNi11
_cell_length_a 6.2394
_cell_length_b 6.2394
_cell_length_c 6.2575
_cell_angle_alpha 97.77
_cell_angle_beta 97.77
_cell_angle_gamma 135.68
_symmetry_space_group_name_H-M 'P 1'
_symmetry_Int_Tables_number 1
loop_
_symmetry_equiv_pos_as_xyz
'x,y,z'
loop_
_atom_site_label
_atom_site_type_symbol
_atom_site_fract_x
_atom_site_fract_y
_atom_site_fract_z
_atom_site_occupancy
Np1 Np 0.0000 0.0000 0.0000 1
Al1 Al 0.5000 0.5000 0.5000 1
Ni1 Ni 0.0000 0.0000 0.5000 1
Ni2 Ni 0.0000 0.5000 0.0000 1
Ni3 Ni 0.0122 0.6577 0.6489 1
Ni4 Ni 0.2821 0.5012 0.7823 1
Ni5 Ni 0.3423 0.9878 0.3511 1
Ni6 Ni 0.4988 0.7179 0.2177 1
Ni7 Ni 0.5000 0.0000 0.0000 1
Ni8 Ni 0.5012 0.2821 0.7823 1
Ni9 Ni 0.6577 0.0122 0.6489 1
Ni10 Ni 0.7179 0.4988 0.2177 1
Ni11 Ni 0.9878 0.3423 0.3511 1
```

Calculated values
V: 12.22 Å³ per atom
Calculated total energy: -6.309 eV/atom
ΔH_f (0 K): -0.1337 eV per atom

# 12
A relaxed ZrNbN2 crystal, computed with GGA-PBE.

CIF file:
```
data_ZrNbN2
_cell_length_a 3.2117
_cell_length_b 3.2117
_cell_length_c 5.5318
_cell_angle_alpha 106.97
_cell_angle_beta 106.97
_cell_angle_gamma 59.94
_symmetry_space_group_name_H-M 'P 1'
_symmetry_Int_Tables_number 1
loop_
_symmetry_equiv_pos_as_xyz
'x,y,z'
loop_
_atom_site_label
_atom_site_type_symbol
_atom_site_fract_x
_atom_site_fract_y
_atom_site_fract_z
_atom_site_occupancy
Zr1 Zr 0.0000 0.0000 0.0000 1
Nb1 Nb 0.5000 0.5000 0.5000 1
N1 N 0.2490 0.2490 0.7475 1
N2 N 0.7510 0.7510 0.2525 1
```

Calculated values
V: 11.62 Å³ per atom
Calculated total energy: -10.117 eV/atom
Energy relative to the elements, uncorrected: -29.968 kcal/mol of atoms

Q: Which of these has the highest V?
A: ZnAgI2

Q: Which of these has the lowest V?
A: ZrNbN2

Q: calculated total energy of number 12 (ZrNbN2)?
A: -10.117 eV/atom